# MgNi2As

An optimized crystal structure of MgNi2As (PBE, Alexandria via LeMat-Bulk).

Computed properties:
The formation energy comes out at -0.330 eV per atom. Its magnetic moment is 0.000 μB per formula unit.

Cell: 3.535 9.669 6.659 Å, 90.00 90.00 90.00°
Space group Cmcm (No. 63)
Unique sites:
Mg 0.000 0.040 0.250 (multiplicity 4)
Ni 0.000 0.360 0.055 (multiplicity 8)
As 0.000 0.239 0.750 (multiplicity 4)



# SbMoRu3

An optimized crystal structure of SbMoRu3 (PBE, Alexandria via LeMat-Bulk).

Computed properties:
Its magnetic moment is 1.147 μB per formula unit. The calculation puts the uncorrected formation energy at 10.03 eV/f.u.

Cell: 4.697 4.697 4.697 Å, 90.00 90.00 90.00°
Space group Pm-3m (No. 221)
Unique sites:
Sb 0.000 0.000 0.000 (multiplicity 1)
Mo 0.500 0.500 0.500 (multiplicity 1)
Ru 0.000 0.000 0.500 (multiplicity 3)



# Tb3Pm2DyBi6

An optimized crystal structure of Tb3Pm2DyBi6 (PBE, Alexandria via LeMat-Bulk).

Computed properties:
The formation energy comes out at -0.895 eV per atom. Its magnetic moment is 0.000 μB per formula unit.

Cell: 19.691 4.519 9.037 Å, 90.00 103.21 90.00°
Space group C2/m (No. 12)
Unique sites:
Tb 0.000 0.000 0.000 (multiplicity 2)
Tb 0.168 0.500 0.333 (multiplicity 4)
Pm 0.166 0.500 0.833 (multiplicity 4)
Dy 0.000 0.000 0.500 (multiplicity 2)
Bi 0.002 0.500 0.252 (multiplicity 4)
Bi 0.165 0.000 0.086 (multiplicity 4)
Bi 0.166 0.000 0.579 (multiplicity 4)



# SbTe2W

An optimized crystal structure of SbTe2W (PBE, Alexandria via LeMat-Bulk).

Computed properties:
Its magnetic moment is 1.241 μB per formula unit. The calculation puts the uncorrected formation energy at 3.90 eV/f.u.

Cell: 3.408 5.098 5.339 Å, 90.00 90.00 90.00°
Space group Pmmm (No. 47)
Unique sites:
Sb 0.000 0.000 0.000 (multiplicity 1)
Te 0.000 0.500 0.500 (multiplicity 1)
Te 0.500 0.500 0.000 (multiplicity 1)
W 0.500 0.000 0.500 (multiplicity 1)



# LiB2C2

An optimized crystal structure of LiB2C2 (PBE, Alexandria via LeMat-Bulk).

Computed properties:
The formation energy comes out at -0.024 eV per atom. Its magnetic moment is 0.000 μB per formula unit.

Cell: 4.6861 4.6861 7.3302 Å, 90.00 90.00 120.00°
Space group P-31m (No. 162)
Unique sites:
Li 0.0000 0.0000 0.0000 (multiplicity 1)
Li 0.3333 0.6667 0.5000 (multiplicity 2)
B 0.0000 0.3333 0.2549 (multiplicity 6)
C 0.0000 0.3334 0.7426 (multiplicity 6)



# Er2AlPd2

An optimized crystal structure of Er2AlPd2 (PBE, Alexandria via LeMat-Bulk).

Computed properties:
The formation energy comes out at -0.731 eV per atom. Its magnetic moment is 0.000 μB per formula unit.

Cell: 7.315 10.740 5.685 Å, 90.00 90.00 90.00°
Space group Ibam (No. 72)
Unique sites:
Er 0.154 0.158 0.000 (multiplicity 8)
Al 0.000 0.500 0.250 (multiplicity 4)
Pd 0.239 0.095 0.500 (multiplicity 8)